Entry from Alexandria via LeMat-Bulk: a geometry-optimized FeSO4F structure (GGA+U).

## Properties
For the raw total energy, the calculation gives -85.3 eV for the cell shown. As for the crystal system: monoclinic.

a b c (Å): 5.1892 5.1892 7.4334
angles (deg): 110.41 110.41 89.48
Element x y z (fractional)
Fe 0.0000 0.5000 0.0000
Fe 0.5000 0.0000 0.5000
S 0.1262 0.8738 0.7500
S 0.8738 0.1262 0.2500
O 0.1552 0.1773 0.4122
O 0.1571 0.6612 0.8439
O 0.1773 0.1552 0.9122
O 0.3388 0.8429 0.6561
O 0.6612 0.1571 0.3439
O 0.8227 0.8448 0.0878
O 0.8429 0.3388 0.1561
O 0.8448 0.8227 0.5878
F 0.3343 0.6657 0.2500
F 0.6657 0.3343 0.7500